--- 1 ---
Ac5InRu after structural relaxation. Source: the Alexandria database, functional PBE-GGA.

CIF file:
```
data_Ac5InRu
_space_group_name_H-M_alt 'P 1'
_space_group_IT_number 1
_cell_length_a 7.2762
_cell_length_b 7.2762
_cell_length_c 12.2998
_cell_angle_alpha 108.16
_cell_angle_beta 108.16
_cell_angle_gamma 63.37
loop_
_space_group_symop_operation_xyz
'x,y,z'
loop_
_atom_site_label
_atom_site_type_symbol
_atom_site_fract_x
_atom_site_fract_y
_atom_site_fract_z
Ac1 Ac 0.0273 0.9727 0.7500
Ac2 Ac 0.0304 0.3906 0.6325
Ac3 Ac 0.2091 0.5566 0.9585
Ac4 Ac 0.3906 0.0304 0.1325
Ac5 Ac 0.4434 0.7909 0.5415
Ac6 Ac 0.5566 0.2091 0.4585
Ac7 Ac 0.6094 0.9696 0.8675
Ac8 Ac 0.7909 0.4434 0.0415
Ac9 Ac 0.9696 0.6094 0.3675
Ac10 Ac 0.9727 0.0273 0.2500
In1 In 0.4845 0.5155 0.2500
In2 In 0.5155 0.4845 0.7500
Ru1 Ru 0.0000 0.0000 0.0000
Ru2 Ru 0.0000 0.0000 0.5000
```

Magnetic moment, μB per atom: 0.00
Crystal system: monoclinic
Fermi-level density of states, states/eV/atom: 1.0755


--- 2 ---
Ac5InRu after structural relaxation. Source: the Alexandria database, functional PBE-GGA.

CIF file:
```
data_Ac5InRu
_space_group_name_H-M_alt 'P 1'
_space_group_IT_number 1
_cell_length_a 5.2891
_cell_length_b 5.2891
_cell_length_c 8.9561
_cell_angle_alpha 90.00
_cell_angle_beta 90.00
_cell_angle_gamma 90.00
loop_
_space_group_symop_operation_xyz
'x,y,z'
loop_
_atom_site_label
_atom_site_type_symbol
_atom_site_fract_x
_atom_site_fract_y
_atom_site_fract_z
Ac1 Ac 0.0000 0.0000 0.0000
Ac2 Ac 0.0000 0.5000 0.3017
Ac3 Ac 0.0000 0.5000 0.6983
Ac4 Ac 0.5000 0.0000 0.3017
Ac5 Ac 0.5000 0.0000 0.6983
In1 In 0.5000 0.5000 0.0000
Ru1 Ru 0.0000 0.0000 0.5000
```

Magnetic moment, μB per atom: 0.00
Crystal system: tetragonal
Fermi-level density of states, states/eV/atom: 0.9195


Which is most stable? The ranking, best first, is 1, 2.


--- 1 ---
Ac5In2Ru after structural relaxation. Source: the Alexandria database, functional PBE-GGA.

CIF file:
```
data_Ac5In2Ru
_space_group_name_H-M_alt 'P 1'
_space_group_IT_number 1
_cell_length_a 7.3393
_cell_length_b 7.3393
_cell_length_c 7.3393
_cell_angle_alpha 114.19
_cell_angle_beta 114.19
_cell_angle_gamma 100.39
loop_
_space_group_symop_operation_xyz
'x,y,z'
loop_
_atom_site_label
_atom_site_type_symbol
_atom_site_fract_x
_atom_site_fract_y
_atom_site_fract_z
Ac1 Ac 0.0000 0.0000 0.0000
Ac2 Ac 0.4942 0.4942 0.5020
Ac3 Ac 0.4942 0.9921 0.0000
Ac4 Ac 0.9921 0.4942 0.0000
Ac5 Ac 0.9921 0.9921 0.4980
In1 In 0.4847 0.9847 0.5000
In2 In 0.9847 0.4847 0.5000
Ru1 Ru 0.3039 0.3039 0.0000
```

Magnetic moment, μB per atom: 0.00
Crystal system: tetragonal
Fermi-level density of states, states/eV/atom: 1.0568


--- 2 ---
Ac5In2Ru after structural relaxation. Source: the Alexandria database, functional PBE-GGA.

CIF file:
```
data_Ac5In2Ru
_space_group_name_H-M_alt 'P 1'
_space_group_IT_number 1
_cell_length_a 8.8513
_cell_length_b 13.1069
_cell_length_c 4.9905
_cell_angle_alpha 90.00
_cell_angle_beta 90.00
_cell_angle_gamma 90.00
loop_
_space_group_symop_operation_xyz
'x,y,z'
loop_
_atom_site_label
_atom_site_type_symbol
_atom_site_fract_x
_atom_site_fract_y
_atom_site_fract_z
Ac1 Ac 0.0000 0.0000 0.0000
Ac2 Ac 0.1384 0.3009 0.0000
Ac3 Ac 0.1817 0.5698 0.5000
Ac4 Ac 0.3183 0.0698 0.5000
Ac5 Ac 0.3616 0.8009 0.0000
Ac6 Ac 0.5000 0.5000 0.0000
Ac7 Ac 0.6384 0.1991 0.0000
Ac8 Ac 0.6817 0.9302 0.5000
Ac9 Ac 0.8183 0.4302 0.5000
Ac10 Ac 0.8616 0.6991 0.0000
In1 In 0.0732 0.8312 0.5000
In2 In 0.4268 0.3312 0.5000
In3 In 0.5732 0.6688 0.5000
In4 In 0.9268 0.1688 0.5000
Ru1 Ru 0.0000 0.5000 0.0000
Ru2 Ru 0.5000 0.0000 0.0000
```

Magnetic moment, μB per atom: 0.00
Crystal system: orthorhombic
Fermi-level density of states, states/eV/atom: 1.1129


Which is most stable? The ranking, best first, is 2, 1.


--- 1 ---
Ac4InRu after structural relaxation. Source: the Alexandria database, functional PBE-GGA.

CIF file:
```
data_Ac4InRu
_space_group_name_H-M_alt 'P 1'
_space_group_IT_number 1
_cell_length_a 10.5124
_cell_length_b 10.5124
_cell_length_c 10.5124
_cell_angle_alpha 60.00
_cell_angle_beta 60.00
_cell_angle_gamma 60.00
loop_
_space_group_symop_operation_xyz
'x,y,z'
loop_
_atom_site_label
_atom_site_type_symbol
_atom_site_fract_x
_atom_site_fract_y
_atom_site_fract_z
Ac1 Ac 0.0588 0.0588 0.4412
Ac2 Ac 0.0588 0.4412 0.0588
Ac3 Ac 0.0588 0.4412 0.4412
Ac4 Ac 0.1904 0.1904 0.8096
Ac5 Ac 0.1904 0.8096 0.1904
Ac6 Ac 0.1904 0.8096 0.8096
Ac7 Ac 0.2124 0.5959 0.5959
Ac8 Ac 0.4412 0.0588 0.0588
Ac9 Ac 0.4412 0.0588 0.4412
Ac10 Ac 0.4412 0.4412 0.0588
Ac11 Ac 0.5959 0.2124 0.5959
Ac12 Ac 0.5959 0.5959 0.2124
Ac13 Ac 0.5959 0.5959 0.5959
Ac14 Ac 0.8096 0.1904 0.1904
Ac15 Ac 0.8096 0.1904 0.8096
Ac16 Ac 0.8096 0.8096 0.1904
In1 In 0.5149 0.8284 0.8284
In2 In 0.8284 0.5149 0.8284
In3 In 0.8284 0.8284 0.5149
In4 In 0.8284 0.8284 0.8284
Ru1 Ru 0.3874 0.3874 0.3874
Ru2 Ru 0.3874 0.3874 0.8379
Ru3 Ru 0.3874 0.8379 0.3874
Ru4 Ru 0.8379 0.3874 0.3874
```

Magnetic moment, μB per atom: 0.00
Crystal system: cubic
Fermi-level density of states, states/eV/atom: 0.6924


--- 2 ---
Ac4InRu after structural relaxation. Source: the Alexandria database, functional PBE-GGA.

CIF file:
```
data_Ac4InRu
_space_group_name_H-M_alt 'P 1'
_space_group_IT_number 1
_cell_length_a 9.3724
_cell_length_b 9.3724
_cell_length_c 7.3872
_cell_angle_alpha 107.39
_cell_angle_beta 107.39
_cell_angle_gamma 116.74
loop_
_space_group_symop_operation_xyz
'x,y,z'
loop_
_atom_site_label
_atom_site_type_symbol
_atom_site_fract_x
_atom_site_fract_y
_atom_site_fract_z
Ac1 Ac 0.0527 0.6343 0.8390
Ac2 Ac 0.1877 0.2703 0.7218
Ac3 Ac 0.2703 0.1877 0.2218
Ac4 Ac 0.3657 0.9473 0.6610
Ac5 Ac 0.6343 0.0527 0.3390
Ac6 Ac 0.7297 0.8123 0.7782
Ac7 Ac 0.8123 0.7297 0.2782
Ac8 Ac 0.9473 0.3657 0.1610
In1 In 0.3814 0.6186 0.2500
In2 In 0.6186 0.3814 0.7500
Ru1 Ru 0.0814 0.9186 0.7500
Ru2 Ru 0.9186 0.0814 0.2500
```

Magnetic moment, μB per atom: 0.00
Crystal system: monoclinic
Fermi-level density of states, states/eV/atom: 0.9488


Which is most stable? The ranking, best first, is 1, 2.


--- 1 ---
AcInS3 after structural relaxation. Source: the Alexandria database, functional PBE-GGA.

CIF file:
```
data_AcInS3
_space_group_name_H-M_alt 'P 1'
_space_group_IT_number 1
_cell_length_a 8.6712
_cell_length_b 8.6712
_cell_length_c 5.1547
_cell_angle_alpha 107.24
_cell_angle_beta 107.24
_cell_angle_gamma 114.61
loop_
_space_group_symop_operation_xyz
'x,y,z'
loop_
_atom_site_label
_atom_site_type_symbol
_atom_site_fract_x
_atom_site_fract_y
_atom_site_fract_z
Ac1 Ac 0.1757 0.8243 0.0000
Ac2 Ac 0.8243 0.1757 0.0000
In1 In 0.2680 0.2680 0.7670
In2 In 0.7320 0.7320 0.2330
S1 S 0.0657 0.3992 0.7319
S2 S 0.2212 0.2212 0.2205
S3 S 0.3992 0.0657 0.7319
S4 S 0.6008 0.9343 0.2681
S5 S 0.7788 0.7788 0.7795
S6 S 0.9343 0.6008 0.2681
```

Magnetic moment, μB per atom: 0.00
Crystal system: monoclinic


--- 2 ---
AcInS3 after structural relaxation. Source: the Alexandria database, functional PBE-GGA.

CIF file:
```
data_AcInS3
_space_group_name_H-M_alt 'P 1'
_space_group_IT_number 1
_cell_length_a 8.2755
_cell_length_b 8.2755
_cell_length_c 8.0952
_cell_angle_alpha 95.22
_cell_angle_beta 95.22
_cell_angle_gamma 30.00
loop_
_space_group_symop_operation_xyz
'x,y,z'
loop_
_atom_site_label
_atom_site_type_symbol
_atom_site_fract_x
_atom_site_fract_y
_atom_site_fract_z
Ac1 Ac 0.1802 0.1802 0.2092
Ac2 Ac 0.8198 0.8198 0.7908
In1 In 0.4039 0.4039 0.3518
In2 In 0.5961 0.5961 0.6482
S1 S 0.1900 0.1900 0.6064
S2 S 0.3463 0.3463 0.0455
S3 S 0.4399 0.4399 0.6722
S4 S 0.5601 0.5601 0.3278
S5 S 0.6537 0.6537 0.9545
S6 S 0.8100 0.8100 0.3936
```

Magnetic moment, μB per atom: 0.00
Crystal system: monoclinic
Fermi-level density of states, states/eV/atom: 0.0000


Which is most stable? The ranking, best first, is 2, 1.